Entry 1:
Density functional theory data (GGA-PBEsol) for a geometry-optimized NaCd2Si3O9 structure.

Cell lengths 6.892, 6.977, 7.859 Å; angles 94.93, 102.39, 90.28 degrees
Sites, in units of the cell vectors:
Na  0.239  0.151  0.439
Na  0.761  0.849  0.561
Cd  0.088  0.648  0.855
Cd  0.413  0.362  0.149
Cd  0.587  0.638  0.851
Cd  0.912  0.352  0.145
Si  0.093  0.158  0.784
Si  0.236  0.646  0.456
Si  0.449  0.847  0.213
Si  0.551  0.153  0.787
Si  0.764  0.354  0.544
Si  0.907  0.842  0.216
O  0.005  0.048  0.190
O  0.031  0.773  0.406
O  0.109  0.332  0.937
O  0.209  0.444  0.332
O  0.290  0.625  0.664
O  0.311  0.106  0.740
O  0.340  0.050  0.175
O  0.391  0.675  0.057
O  0.411  0.781  0.401
O  0.589  0.219  0.599
O  0.609  0.325  0.943
O  0.660  0.950  0.825
O  0.689  0.894  0.260
O  0.710  0.375  0.336
O  0.791  0.556  0.668
O  0.891  0.668  0.063
O  0.969  0.227  0.594
O  0.995  0.952  0.810

Output
Raw total energy, eV per atom: -6.67
Formation energy (no corrections), eV per atom: -2.1139
SG: No. 2
M_tot, μB/f.u.: 1.03
V, Å³ per cell: 368

***

Entry 2:
Density functional theory data (GGA-PBEsol) for a geometry-optimized Na4Cd2Si3O10 structure.

Cell lengths 5.766, 5.766, 17.660 Å; angles 98.28, 98.28, 61.18 degrees
Sites, in units of the cell vectors:
Na  0.070  0.279  0.243
Na  0.184  0.327  0.561
Na  0.279  0.070  0.743
Na  0.327  0.184  0.061
Na  0.673  0.816  0.939
Na  0.721  0.930  0.257
Na  0.816  0.673  0.439
Na  0.930  0.721  0.757
Cd  0.303  0.501  0.915
Cd  0.499  0.697  0.585
Cd  0.501  0.303  0.415
Cd  0.697  0.499  0.085
Si  0.040  0.829  0.101
Si  0.171  0.960  0.399
Si  0.382  0.618  0.250
Si  0.618  0.382  0.750
Si  0.829  0.040  0.601
Si  0.960  0.171  0.899
O  0.041  0.114  0.115
O  0.114  0.041  0.615
O  0.114  0.702  0.187
O  0.147  0.251  0.428
O  0.251  0.147  0.928
O  0.273  0.606  0.047
O  0.298  0.886  0.313
O  0.362  0.418  0.788
O  0.394  0.727  0.453
O  0.418  0.362  0.288
O  0.582  0.638  0.712
O  0.606  0.273  0.547
O  0.638  0.582  0.212
O  0.702  0.114  0.687
O  0.727  0.394  0.953
O  0.749  0.853  0.072
O  0.853  0.749  0.572
O  0.886  0.298  0.813
O  0.886  0.959  0.385
O  0.959  0.886  0.885

Output
Raw total energy, eV per atom: -6.27
Formation energy (no corrections), eV per atom: -2.1765
SG: No. 15
M_tot, μB/f.u.: 0.00
V, Å³ per cell: 507

***

Entry 3:
Density functional theory data (GGA-PBEsol) for a geometry-optimized NaV4Cd3O12 structure.

Cell lengths 5.227, 7.459, 5.279 Å; angles 90.00, 90.54, 90.00 degrees
Sites, in units of the cell vectors:
Na  0.000  0.000  0.000
V  0.000  0.247  0.471
V  0.000  0.753  0.471
V  0.492  0.246  0.971
V  0.492  0.754  0.971
Cd  0.495  0.000  0.499
Cd  0.503  0.500  0.438
Cd  0.986  0.500  0.940
O  0.072  0.500  0.481
O  0.209  0.218  0.755
O  0.209  0.782  0.755
O  0.289  0.209  0.261
O  0.289  0.791  0.261
O  0.415  0.500  0.993
O  0.556  0.000  0.951
O  0.704  0.290  0.679
O  0.704  0.710  0.679
O  0.788  0.286  0.178
O  0.788  0.714  0.178
O  0.924  0.000  0.462

Output
Raw total energy, eV per atom: -7.27
Formation energy (no corrections), eV per atom: -1.9471
SG: No. 6
M_tot, μB/f.u.: 0.00
V, Å³ per cell: 206